# Li2Ga3 (PBE, relaxed)
# **Energy above the lowest structure with this stoichiometry**: 48.0 meV per atom
data_Li2Ga3
_cell_length_a 9.449
_cell_length_b 13.514
_cell_length_c 5.263
_cell_angle_alpha 90.00
_cell_angle_beta 90.00
_cell_angle_gamma 90.00
_space_group_name_H-M_alt 'F d d 2'
_space_group_IT_number 43
_space_group_name_Hall 'F 2 -2d'
loop_
_atom_site_label
_atom_site_type_symbol
_atom_site_fract_x
_atom_site_fract_y
_atom_site_fract_z
_atom_site_occupancy
Li1 Li 0.031 0.199 0.000 1
Ga1 Ga 0.000 0.000 0.070 1
Ga2 Ga 0.041 0.101 0.528 1

# Li2Ga7 (PBE, relaxed)
# **Energy above the lowest structure with this stoichiometry**: 0.0 meV per atom
data_Li2Ga7
_cell_length_a 12.319
_cell_length_b 8.486
_cell_length_c 7.471
_cell_angle_alpha 90.00
_cell_angle_beta 115.34
_cell_angle_gamma 90.00
_space_group_name_H-M_alt 'C 1 m 1'
_space_group_IT_number 8
loop_
_space_group_symop_operation_xyz
'x,y,z'
'x,-y,z'
'x+1/2,y+1/2,z'
'x+1/2,-y+1/2,z'
loop_
_atom_site_label
_atom_site_type_symbol
_atom_site_fract_x
_atom_site_fract_y
_atom_site_fract_z
_atom_site_occupancy
Li1 Li 0.000 0.000 0.000 1
Li2 Li 0.198 0.203 0.425 1
Li3 Li 0.264 0.500 0.058 1
Ga1 Ga 0.049 0.343 0.025 1
Ga2 Ga 0.084 0.500 0.356 1
Ga3 Ga 0.178 0.000 0.724 1
Ga4 Ga 0.216 0.160 0.048 1
Ga5 Ga 0.304 0.500 0.614 1
Ga6 Ga 0.326 0.257 0.832 1
Ga7 Ga 0.371 0.000 0.363 1
Ga8 Ga 0.394 0.000 0.709 1
Ga9 Ga 0.441 0.258 0.249 1
Ga10 Ga 0.462 0.500 0.465 1

# Li5Ga4 (PBE, relaxed)
# **Energy above the lowest structure with this stoichiometry**: 53.5 meV per atom
data_Li5Ga4
_cell_length_a 8.819
_cell_length_b 4.212
_cell_length_c 8.246
_cell_angle_alpha 90.00
_cell_angle_beta 112.21
_cell_angle_gamma 90.00
_space_group_name_H-M_alt 'C 1 2/m 1'
_space_group_IT_number 12
loop_
_space_group_symop_operation_xyz
'x,y,z'
'-x,-y,-z'
'-x,y,-z'
'x,-y,z'
'x+1/2,y+1/2,z'
'-x+1/2,-y+1/2,-z'
'-x+1/2,y+1/2,-z'
'x+1/2,-y+1/2,z'
loop_
_atom_site_label
_atom_site_type_symbol
_atom_site_fract_x
_atom_site_fract_y
_atom_site_fract_z
_atom_site_occupancy
Li1 Li 0.000 0.000 0.000 1
Li2 Li 0.003 0.000 0.336 1
Li3 Li 0.171 0.500 0.224 1
Ga1 Ga 0.168 0.500 0.564 1
Ga2 Ga 0.168 0.500 0.893 1

LiGa3: relaxed, PBE.

The structure in CIF format:
```
data_LiGa3
_cell_length_a 6.534
_cell_length_b 6.534
_cell_length_c 6.534
_cell_angle_alpha 90.00
_cell_angle_beta 90.00
_cell_angle_gamma 90.00
_space_group_name_H-M_alt 'F m -3 m'
_space_group_IT_number 225
_space_group_name_Hall '-F 4 2 3'
loop_
_atom_site_label
_atom_site_type_symbol
_atom_site_fract_x
_atom_site_fract_y
_atom_site_fract_z
_atom_site_occupancy
Li1 Li 0.000 0.000 0.000 1
Ga1 Ga 0.000 0.000 0.500 1
Ga2 Ga 0.250 0.250 0.250 1
```

no.,E_form (eV/atom),D(E_F) (states/eV/f.u.),magnetic moment (μB/f.u.)
1,-0.198,1.36,0.00
2,-0.189,0.27,0.00
3,-0.275,2.88,0.00
4,-0.132,1.41,0.00